! FeRu SCAN PBEsol geometry; values from VASP
! Energy of formation from the pure elements (eV/atom): 0.27
! Electronic total energy (eV per atom): -26.203
! Space group: Pnma (62)
&SYSTEM
  ibrav = 0, nat = 8, ntyp = 2
/
ATOMIC_SPECIES
Fe 55.84 Fe.upf
Ru 101.07 Ru.upf
ATOMIC_POSITIONS crystal
Fe 0.250 0.579 0.376
Fe 0.250 0.079 0.124
Fe 0.750 0.421 0.624
Fe 0.750 0.921 0.876
Ru 0.250 0.590 0.873
Ru 0.750 0.410 0.127
Ru 0.750 0.910 0.373
Ru 0.250 0.090 0.627
CELL_PARAMETERS angstrom
4.053 0.000 0.000
0.000 4.475 0.000
0.000 0.000 5.119

! Fe3Ru SCAN PBEsol geometry; values from VASP
! Energy of formation from the pure elements (eV/atom): 0.26
! Electronic total energy (eV per atom): -22.045
! Space group: R-3m (166)
&SYSTEM
  ibrav = 0, nat = 4, ntyp = 2
/
ATOMIC_SPECIES
Ru 101.07 Ru.upf
Fe 55.84 Fe.upf
ATOMIC_POSITIONS crystal
Ru 0.500 0.500 0.500
Fe 0.746 0.746 0.761
Fe 0.254 0.254 0.239
Fe 0.000 0.000 0.000
CELL_PARAMETERS angstrom
-2.332 0.490 -0.767
-1.198 -1.625 -1.480
-4.092 -4.122 5.722

! Fe3Ru SCAN PBEsol geometry; values from VASP
! Energy of formation from the pure elements (eV/atom): -0.01
! Electronic total energy (eV per atom): -22.309
! Space group: Immm (71)
&SYSTEM
  ibrav = 0, nat = 4, ntyp = 2
/
ATOMIC_SPECIES
Fe 55.84 Fe.upf
Ru 101.07 Ru.upf
ATOMIC_POSITIONS crystal
Fe 0.245 0.245 0.490
Fe 0.755 0.755 0.510
Fe 0.500 0.000 0.000
Ru 0.000 0.500 0.000
CELL_PARAMETERS angstrom
-2.679 0.183 0.920
0.718 -2.989 2.685
2.112 4.144 0.947

! FeRu SCAN PBEsol geometry; values from VASP
! Energy of formation from the pure elements (eV/atom): 1.37
! Electronic total energy (eV per atom): -25.112
! Space group: F-43m (216)
&SYSTEM
  ibrav = 0, nat = 2, ntyp = 2
/
ATOMIC_SPECIES
Fe 55.84 Fe.upf
Ru 101.07 Ru.upf
ATOMIC_POSITIONS crystal
Fe 0.000 0.000 0.000
Ru 0.250 0.250 0.250
CELL_PARAMETERS angstrom
3.598 0.000 0.000
1.799 3.116 0.000
1.799 1.039 2.937

! FeRu SCAN PBEsol geometry; values from VASP
! Energy of formation from the pure elements (eV/atom): 0.15
! Electronic total energy (eV per atom): -26.333
! Space group: Fd-3m (227)
&SYSTEM
  ibrav = 0, nat = 4, ntyp = 2
/
ATOMIC_SPECIES
Fe 55.84 Fe.upf
Ru 101.07 Ru.upf
ATOMIC_POSITIONS crystal
Fe 0.750 0.750 0.750
Fe 0.500 0.500 0.500
Ru 0.250 0.250 0.250
Ru 0.000 0.000 0.000
CELL_PARAMETERS angstrom
-1.893 3.606 -0.805
-3.258 0.105 -2.571
-3.803 0.727 1.498

! Fe3Ru SCAN PBEsol geometry; values from VASP
! Energy of formation from the pure elements (eV/atom): 0.01
! Electronic total energy (eV per atom): -22.297
! Space group: P4/mmm (123)
&SYSTEM
  ibrav = 0, nat = 4, ntyp = 2
/
ATOMIC_SPECIES
Fe 55.84 Fe.upf
Ru 101.07 Ru.upf
ATOMIC_POSITIONS crystal
Fe 0.000 0.000 0.766
Fe 0.000 0.000 0.234
Fe 0.500 0.500 0.000
Ru 0.500 0.500 0.500
CELL_PARAMETERS angstrom
2.795 0.000 0.000
0.000 2.795 0.000
0.000 0.000 5.911

! FeRu SCAN PBEsol geometry; values from VASP
! Energy of formation from the pure elements (eV/atom): 0.06
! Electronic total energy (eV per atom): -26.422
! Space group: Imma (74)
&SYSTEM
  ibrav = 0, nat = 4, ntyp = 2
/
ATOMIC_SPECIES
Fe 55.84 Fe.upf
Ru 101.07 Ru.upf
ATOMIC_POSITIONS crystal
Fe 0.637 0.887 0.274
Fe 0.363 0.113 0.726
Ru 0.115 0.365 0.230
Ru 0.885 0.635 0.770
CELL_PARAMETERS angstrom
2.893 0.000 0.000
0.000 4.124 0.000
-1.446 -2.062 4.118

! FeRu SCAN PBEsol geometry; values from VASP
! Energy of formation from the pure elements (eV/atom): 0.20
! Electronic total energy (eV per atom): -26.281
! Space group: C2/m (12)
&SYSTEM
  ibrav = 0, nat = 4, ntyp = 2
/
ATOMIC_SPECIES
Ru 101.07 Ru.upf
Fe 55.84 Fe.upf
ATOMIC_POSITIONS crystal
Ru 0.122 0.359 0.244
Ru 0.878 0.641 0.756
Fe 0.629 0.882 0.257
Fe 0.371 0.118 0.743
CELL_PARAMETERS angstrom
2.569 0.000 0.000
0.000 4.389 -0.001
-1.285 -0.761 4.147

! FeRu SCAN PBEsol geometry; values from VASP
! Energy of formation from the pure elements (eV/atom): 0.87
! Electronic total energy (eV per atom): -25.609
! Space group: P6_3/mmc (194)
&SYSTEM
  ibrav = 0, nat = 4, ntyp = 2
/
ATOMIC_SPECIES
Ru 101.07 Ru.upf
Fe 55.84 Fe.upf
ATOMIC_POSITIONS crystal
Ru 0.000 0.000 0.000
Ru 0.000 0.000 0.500
Fe 0.667 0.333 0.750
Fe 0.333 0.667 0.250
CELL_PARAMETERS angstrom
-0.943 -2.556 2.122
3.315 0.367 -0.895
0.788 3.239 4.251

! FeSbRu2 SCAN PBEsol geometry; values from VASP
! Electronic total energy (eV per atom): -30.956
! Space group: P2/m (10)
&SYSTEM
  ibrav = 0, nat = 4, ntyp = 3
/
ATOMIC_SPECIES
Fe 55.84 Fe.upf
Ru 101.07 Ru.upf
Sb 121.76 Sb.upf
ATOMIC_POSITIONS crystal
Fe 0.000 0.500 0.500
Ru 0.755 0.000 0.733
Ru 0.245 0.000 0.267
Sb 0.500 0.500 0.000
CELL_PARAMETERS angstrom
2.850 0.000 -0.041
0.000 4.275 0.000
-0.240 0.000 4.875

! FeSb2Ru SCAN PBEsol geometry; values from VASP
! E above lowest polymorph (kJ per mole of atoms): 49.8
! Electronic total energy (eV per atom): -31.224
! Space group: F-43m (216)
&SYSTEM
  ibrav = 0, nat = 4, ntyp = 3
/
ATOMIC_SPECIES
Sb 121.76 Sb.upf
Fe 55.84 Fe.upf
Ru 101.07 Ru.upf
ATOMIC_POSITIONS crystal
Sb 0.000 0.000 0.000
Sb 0.750 0.750 0.750
Fe 0.500 0.500 0.500
Ru 0.250 0.250 0.250
CELL_PARAMETERS angstrom
-2.539 -3.907 -0.187
1.887 -4.070 1.273
-1.377 -2.077 3.942

! FeSb2Ru SCAN PBEsol geometry; values from VASP
! E above lowest polymorph (kJ per mole of atoms): 0.0
! Electronic total energy (eV per atom): -31.740
! Space group: P4mm (99)
&SYSTEM
  ibrav = 0, nat = 4, ntyp = 3
/
ATOMIC_SPECIES
Sb 121.76 Sb.upf
Fe 55.84 Fe.upf
Ru 101.07 Ru.upf
ATOMIC_POSITIONS crystal
Sb 0.000 0.000 0.928
Sb 0.500 0.500 0.328
Fe 0.000 0.000 0.527
Ru 0.500 0.500 0.717
CELL_PARAMETERS angstrom
-1.910 2.173 -1.091
-0.827 -1.885 -2.307
-5.697 -2.824 4.351

no.,M_tot (μB per formula unit)
1,0.00
2,7.38
3,8.51
4,0.00
5,3.68
6,8.15
7,2.97
8,2.21
9,3.08
10,3.97
11,3.99
12,3.46